# 1
The following is a DFT calculation (PBE-GGA) of an optimized crystal structure of Pm3Nd2Sc.

Values from the calculation:
The offset from the most stable computed form comes out at 0.0 kJ/mol of atoms.

Cell: 6.216 9.517 10.809 Å, 129.06 125.34 77.36°
Fractional positions:
Sc1 0.878 0.875 0.754
Sc2 0.122 0.125 0.246
Pm1 0.960 0.636 0.920
Pm2 0.627 0.625 0.253
Pm3 0.290 0.623 0.581
Pm4 0.373 0.375 0.747
Pm5 0.040 0.364 0.080
Pm6 0.710 0.377 0.419
Nd1 0.465 0.118 0.915
Nd2 0.214 0.877 0.418
Nd3 0.535 0.882 0.085
Nd4 0.786 0.123 0.582

# 2
The following is a DFT calculation (PBE-GGA) of an optimized crystal structure of TaBe2Cr.

Values from the calculation:
The offset from the most stable computed form comes out at 36.1 kJ/mol of atoms.

Cell: 4.106 4.106 4.106 Å, 60.00 60.00 60.00°
Each line ends with the local moment (μB).
Fractional positions:
Cr1 0.500 0.500 0.500  1.04
Ta1 0.750 0.750 0.750  -0.06
Be1 0.250 0.250 0.250  -0.01
Be2 0.000 0.000 0.000  -0.01

# 3
The following is a DFT calculation (PBE-GGA) of an optimized crystal structure of HfCdRh.

Values from the calculation:
As for the total energy: -0.475 Ry per atom.

Cell: 4.559 4.559 7.623 Å, 72.60 72.60 60.00°
Fractional positions:
Cd1 0.127 0.127 0.620
Cd2 0.873 0.873 0.380
Rh1 0.259 0.259 0.224
Rh2 0.741 0.741 0.776
Hf1 0.622 0.622 0.135
Hf2 0.378 0.378 0.865